## Na2AgHgCl6 (PBE)

Data for a relaxed Na2AgHgCl6 crystal.

Output
Raw formation energy = -902 meV per atom
DOS(E_F) = 3.53 states/eV per cell

Cell: 7.525 7.525 5.159 Å, 90.00 90.00 90.00°
Space group P4mm (No. 99)
One atom of each set of equivalent atoms:
Na 0.000 0.500 0.000 [2 per cell]
Ag 0.000 0.000 0.786 [1 per cell]
Hg 0.500 0.500 0.775 [1 per cell]
Cl 0.000 0.000 0.288 [1 per cell]
Cl 0.248 0.248 0.808 [4 per cell]
Cl 0.500 0.500 0.282 [1 per cell]